VASP calculation (PBE-GGA) on a relaxed Cd2Br3F crystal.

```
Cd2Br3F
1.0
3.965 0.000 0.000
1.982 8.761 1.675
1.982 3.750 11.158
F Br Cd
2 6 4
Direct
0.460 0.452 0.628
0.540 0.548 0.372
0.813 0.753 0.621
0.187 0.247 0.379
0.636 0.677 0.051
0.922 0.887 0.269
0.078 0.113 0.731
0.364 0.323 0.949
0.086 0.609 0.220
0.597 0.263 0.542
0.914 0.391 0.780
0.403 0.737 0.458
```

## Properties
- ΔE to the lowest computed polymorph (meV per atom) = 18
- total magnetization (Bohr magnetons per cell) = 0.00
- E (Ry/atom) = -0.1924